## AcBiAu6 (PBE)

Data for crystalline AcBiAu6 at its relaxed geometry.

Summary:
V, A^3/atom: 23.1
Raw total energy, eV per atom: -3.71
Crystal system: cubic
Magnetic moment, μB per cell: 0.000

a b c (Å): 5.6935 5.6935 5.6935
angles (deg): 90.00 90.00 90.00
Space group Pm-3 (No. 200)
Unique sites:
Ac 0.0000 0.0000 0.0000 x1
Bi 0.5000 0.5000 0.5000 x1
Au 0.0000 0.2521 0.5000 x6